Below is an optimized crystal structure of SmY3Cu2, with properties calculated at the PBE-GGA level.

## Properties
E = -0.4065 Ry/atom
Formation energy = -147 meV per atom
Energy relative to the lowest polymorph listed for this composition = 0 meV/atom
Crystal system = tetragonal

```
data_SmY3Cu2
_chemical_formula_sum 'Sm1 Y3 Cu2'
_symmetry_space_group_name_H-M 'P 1'
_symmetry_Int_Tables_number 1
_symmetry_space_group_name_Hall 'P 1'
_cell_length_a 3.505
_cell_length_b 3.505
_cell_length_c 12.224
_cell_angle_alpha 90.00
_cell_angle_beta 90.00
_cell_angle_gamma 90.00
loop_
_atom_site_label
_atom_site_type_symbol
_atom_site_fract_x
_atom_site_fract_y
_atom_site_fract_z
_atom_site_occupancy
Sm1 Sm 0.500 0.500 0.500 1
Y1 Y 0.000 0.000 0.000 1
Y2 Y 0.000 0.000 0.719 1
Y3 Y 0.000 0.000 0.281 1
Cu1 Cu 0.500 0.500 0.857 1
Cu2 Cu 0.500 0.500 0.143 1
```

---

Below is an optimized crystal structure of SmYCu, with properties calculated at the PBE-GGA level.

## Properties
E = -0.3825 Ry/atom
Formation energy = -111 meV per atom
Energy relative to the lowest polymorph listed for this composition = 20 meV/atom
Crystal system = tetragonal

```
data_SmYCu
_chemical_formula_sum 'Sm1 Y1 Cu1'
_symmetry_space_group_name_H-M 'P 1'
_symmetry_Int_Tables_number 1
_symmetry_space_group_name_Hall 'P 1'
_cell_length_a 3.519
_cell_length_b 3.519
_cell_length_c 6.742
_cell_angle_alpha 105.12
_cell_angle_beta 105.12
_cell_angle_gamma 90.00
loop_
_atom_site_label
_atom_site_type_symbol
_atom_site_fract_x
_atom_site_fract_y
_atom_site_fract_z
_atom_site_occupancy
Y1 Y 0.030 0.030 0.061 1
Sm1 Sm 0.307 0.307 0.615 1
Cu1 Cu 0.662 0.662 0.325 1
```

---

Below is an optimized crystal structure of SmY3Cu4, with properties calculated at the PBE-GGA level.

## Properties
E = -0.3886 Ry/atom
Formation energy = -225 meV per atom
Crystal system = orthorhombic

```
data_SmY3Cu4
_chemical_formula_sum 'Sm1 Y3 Cu4'
_symmetry_space_group_name_H-M 'P 1'
_symmetry_Int_Tables_number 1
_symmetry_space_group_name_Hall 'P 1'
_cell_length_a 3.481
_cell_length_b 4.958
_cell_length_c 9.926
_cell_angle_alpha 90.00
_cell_angle_beta 90.00
_cell_angle_gamma 90.00
loop_
_atom_site_label
_atom_site_type_symbol
_atom_site_fract_x
_atom_site_fract_y
_atom_site_fract_z
_atom_site_occupancy
Y1 Y 0.500 0.000 0.251 1
Y2 Y 0.500 0.500 0.500 1
Y3 Y 0.500 0.000 0.749 1
Cu1 Cu 0.000 0.000 0.500 1
Cu2 Cu 0.000 0.500 0.746 1
Cu3 Cu 0.000 0.000 0.000 1
Cu4 Cu 0.000 0.500 0.254 1
Sm1 Sm 0.500 0.500 0.000 1
```

---

Below is an optimized crystal structure of Sm4YCu5, with properties calculated at the PBE-GGA level.

## Properties
E = -0.3510 Ry/atom
Formation energy = -194 meV per atom
Crystal system = tetragonal

```
data_Sm4YCu5
_chemical_formula_sum 'Sm4 Y1 Cu5'
_symmetry_space_group_name_H-M 'P 1'
_symmetry_Int_Tables_number 1
_symmetry_space_group_name_Hall 'P 1'
_cell_length_a 3.515
_cell_length_b 3.515
_cell_length_c 17.786
_cell_angle_alpha 90.00
_cell_angle_beta 90.00
_cell_angle_gamma 90.00
loop_
_atom_site_label
_atom_site_type_symbol
_atom_site_fract_x
_atom_site_fract_y
_atom_site_fract_z
_atom_site_occupancy
Sm1 Sm 0.000 0.000 0.198 1
Sm2 Sm 0.000 0.000 0.400 1
Sm3 Sm 0.000 0.000 0.600 1
Sm4 Sm 0.000 0.000 0.802 1
Y1 Y 0.000 0.000 0.000 1
Cu1 Cu 0.500 0.500 0.095 1
Cu2 Cu 0.500 0.500 0.299 1
Cu3 Cu 0.500 0.500 0.500 1
Cu4 Cu 0.500 0.500 0.701 1
Cu5 Cu 0.500 0.500 0.905 1
```

---

Below is an optimized crystal structure of SmY2Cu2, with properties calculated at the PBE-GGA level.

## Properties
E = -0.3902 Ry/atom
Formation energy = -141 meV per atom
Crystal system = monoclinic

```
data_SmY2Cu2
_chemical_formula_sum 'Sm2 Y4 Cu4'
_symmetry_space_group_name_H-M 'P 1'
_symmetry_Int_Tables_number 1
_symmetry_space_group_name_Hall 'P 1'
_cell_length_a 3.546
_cell_length_b 5.139
_cell_length_c 13.182
_cell_angle_alpha 90.00
_cell_angle_beta 97.71
_cell_angle_gamma 90.00
loop_
_atom_site_label
_atom_site_type_symbol
_atom_site_fract_x
_atom_site_fract_y
_atom_site_fract_z
_atom_site_occupancy
Sm1 Sm 0.860 0.750 0.718 1
Sm2 Sm 0.140 0.250 0.282 1
Y1 Y 0.046 0.750 0.093 1
Y2 Y 0.954 0.250 0.907 1
Y3 Y 0.230 0.750 0.460 1
Y4 Y 0.770 0.250 0.540 1
Cu1 Cu 0.639 0.750 0.280 1
Cu2 Cu 0.361 0.250 0.720 1
Cu3 Cu 0.456 0.750 0.912 1
Cu4 Cu 0.544 0.250 0.088 1
```

---

Below is an optimized crystal structure of SmYCu2, with properties calculated at the PBE-GGA level.

## Properties
E = -0.3716 Ry/atom
Formation energy = -212 meV per atom
Energy relative to the lowest polymorph listed for this composition = 14 meV/atom
Crystal system = tetragonal

```
data_SmYCu2
_chemical_formula_sum 'Sm1 Y1 Cu2'
_symmetry_space_group_name_H-M 'P 1'
_symmetry_Int_Tables_number 1
_symmetry_space_group_name_Hall 'P 1'
_cell_length_a 3.506
_cell_length_b 3.506
_cell_length_c 7.051
_cell_angle_alpha 90.00
_cell_angle_beta 90.00
_cell_angle_gamma 90.00
loop_
_atom_site_label
_atom_site_type_symbol
_atom_site_fract_x
_atom_site_fract_y
_atom_site_fract_z
_atom_site_occupancy
Y1 Y 0.500 0.500 0.000 1
Cu1 Cu 0.000 0.000 0.759 1
Cu2 Cu 0.000 0.000 0.241 1
Sm1 Sm 0.500 0.500 0.500 1
```

---

Below is an optimized crystal structure of Sm4Y3Cu4, with properties calculated at the PBE-GGA level.

## Properties
E = -0.3690 Ry/atom
Formation energy = -52 meV per atom
Crystal system = orthorhombic

```
data_Sm4Y3Cu4
_chemical_formula_sum 'Sm4 Y3 Cu4'
_symmetry_space_group_name_H-M 'P 1'
_symmetry_Int_Tables_number 1
_symmetry_space_group_name_Hall 'P 1'
_cell_length_a 4.901
_cell_length_b 7.387
_cell_length_c 8.849
_cell_angle_alpha 114.67
_cell_angle_beta 106.08
_cell_angle_gamma 90.00
loop_
_atom_site_label
_atom_site_type_symbol
_atom_site_fract_x
_atom_site_fract_y
_atom_site_fract_z
_atom_site_occupancy
Sm1 Sm 0.329 0.109 0.657 1
Sm2 Sm 0.671 0.452 0.343 1
Sm3 Sm 0.671 0.891 0.343 1
Sm4 Sm 0.329 0.548 0.657 1
Y1 Y 0.103 0.103 0.205 1
Y2 Y 0.897 0.897 0.795 1
Y3 Y 0.000 0.500 0.000 1
Cu1 Cu 0.199 0.699 0.399 1
Cu2 Cu 0.801 0.301 0.601 1
Cu3 Cu 0.500 0.835 0.000 1
Cu4 Cu 0.500 0.165 0.000 1
```

---

Below is an optimized crystal structure of Sm2YCu6, with properties calculated at the PBE-GGA level.

## Properties
E = -0.3482 Ry/atom
Formation energy = -240 meV per atom
Crystal system = hexagonal

```
data_Sm2YCu6
_chemical_formula_sum 'Sm2 Y1 Cu6'
_symmetry_space_group_name_H-M 'P 1'
_symmetry_Int_Tables_number 1
_symmetry_space_group_name_Hall 'P 1'
_cell_length_a 3.655
_cell_length_b 7.366
_cell_length_c 7.366
_cell_angle_alpha 120.00
_cell_angle_beta 90.00
_cell_angle_gamma 90.00
loop_
_atom_site_label
_atom_site_type_symbol
_atom_site_fract_x
_atom_site_fract_y
_atom_site_fract_z
_atom_site_occupancy
Sm1 Sm 0.000 0.333 0.667 1
Sm2 Sm 0.000 0.667 0.333 1
Y1 Y 0.000 0.000 0.000 1
Cu1 Cu 0.500 0.332 0.332 1
Cu2 Cu 0.500 0.668 0.668 1
Cu3 Cu 0.500 0.000 0.668 1
Cu4 Cu 0.500 0.668 0.000 1
Cu5 Cu 0.500 0.332 0.000 1
Cu6 Cu 0.500 0.000 0.332 1
```

---

Below is an optimized crystal structure of SmY2Cu4, with properties calculated at the PBE-GGA level.

## Properties
E = -0.3553 Ry/atom
Formation energy = 27 meV per atom
Crystal system = trigonal

```
data_SmY2Cu4
_chemical_formula_sum 'Sm1 Y2 Cu4'
_symmetry_space_group_name_H-M 'P 1'
_symmetry_Int_Tables_number 1
_symmetry_space_group_name_Hall 'P 1'
_cell_length_a 4.678
_cell_length_b 4.678
_cell_length_c 9.011
_cell_angle_alpha 74.95
_cell_angle_beta 74.95
_cell_angle_gamma 60.00
loop_
_atom_site_label
_atom_site_type_symbol
_atom_site_fract_x
_atom_site_fract_y
_atom_site_fract_z
_atom_site_occupancy
Y1 Y 0.782 0.782 0.653 1
Y2 Y 0.218 0.218 0.347 1
Cu1 Cu 0.896 0.896 0.313 1
Cu2 Cu 0.104 0.104 0.687 1
Cu3 Cu 0.596 0.596 0.212 1
Cu4 Cu 0.404 0.404 0.788 1
Sm1 Sm 0.000 0.000 0.000 1
```

---

Below is an optimized crystal structure of Sm2YCu4, with properties calculated at the PBE-GGA level.

## Properties
E = -0.3515 Ry/atom
Formation energy = -171 meV per atom
Crystal system = monoclinic

```
data_Sm2YCu4
_chemical_formula_sum 'Sm2 Y1 Cu4'
_symmetry_space_group_name_H-M 'P 1'
_symmetry_Int_Tables_number 1
_symmetry_space_group_name_Hall 'P 1'
_cell_length_a 6.820
_cell_length_b 4.438
_cell_length_c 7.517
_cell_angle_alpha 107.17
_cell_angle_beta 135.11
_cell_angle_gamma 90.00
loop_
_atom_site_label
_atom_site_type_symbol
_atom_site_fract_x
_atom_site_fract_y
_atom_site_fract_z
_atom_site_occupancy
Y1 Y 0.000 0.000 0.000 1
Cu1 Cu 0.225 0.899 0.798 1
Cu2 Cu 0.952 0.347 0.694 1
Cu3 Cu 0.775 0.101 0.202 1
Cu4 Cu 0.048 0.653 0.306 1
Sm1 Sm 0.573 0.646 0.293 1
Sm2 Sm 0.427 0.354 0.707 1
```

---

Which value of formation energy does entry 4 give? -194 meV per atom